# 1
Computed, not measured: a relaxed structure of Ba2AgOs at the PBEsol level of DFT.

Results
size of the total moment: 0.85 μB/cell

a b c (Å): 4.513 4.513 24.427
angles (deg): 90.00 90.00 120.00
Atoms (fractional coordinates):
Ba  0.000  0.000  0.000
Ba  0.000  0.000  0.167
Ba  0.333  0.667  0.667
Ba  0.333  0.667  0.834
Ba  0.667  0.333  0.333
Ba  0.667  0.333  0.501
Ag  0.000  0.000  0.417
Ag  0.333  0.667  0.084
Ag  0.667  0.333  0.750
Os  0.000  0.000  0.750
Os  0.333  0.667  0.417
Os  0.667  0.333  0.084

***

# 2
Computed, not measured: a relaxed structure of BaAg2Os at the PBEsol level of DFT.

Results
polymorph energy (0 for the lowest one): 0 meV per atom
size of the total moment: 0.00 μB/cell

a b c (Å): 9.253 2.929 6.459
angles (deg): 90.00 96.58 90.00
Atoms (fractional coordinates):
Ba  0.000  0.000  0.000
Ba  0.500  0.500  0.000
Ag  0.235  0.000  0.663
Ag  0.497  0.000  0.472
Ag  0.735  0.500  0.663
Ag  0.997  0.500  0.472
Os  0.259  0.500  0.311
Os  0.759  0.000  0.311

***

E_form across the listed records, respectively: 1.78 3.03 eV/f.u..